Entry 1:
Below is a relaxed PmNdDy6 crystal, with properties calculated at the GGA-PBE level.

Cell lengths 5.0514, 5.0514, 10.0991 Å; angles 90.00, 90.00, 90.00 degrees
Closest atoms and distances in Å follow each position.
Space group P4/mmm (No. 123)
One atom of each set of equivalent atoms:
Pm1 0.0000 0.0000 0.0000  12 Dy 3.57
Nd1 0.0000 0.0000 0.5000  12 Dy 3.57-3.58
Dy1 0.0000 0.5000 0.2494  8 Dy 3.57-3.58, 2 Pm 3.57, 2 Nd 3.58
Dy2 0.5000 0.5000 0.0000  8 Dy 3.57, 4 Pm 3.57
Dy3 0.5000 0.5000 0.5000  4 Nd 3.57, 8 Dy 3.58

Summary:
- Distance to the lowest polymorph of the same formula: 0.000 eV/atom
- Total moment: 0.00 Bohr magnetons per cell
- E_form: 0.0199 eV per atom


Entry 2:
Below is a relaxed Li2AgPtF8 crystal, with properties calculated at the GGA-PBE level.

Cell lengths 4.7328, 6.8550, 4.7435 Å; angles 90.00, 91.53, 90.00 degrees
Closest atoms and distances in Å follow each position.
Space group P2/m (No. 10)
One atom of each set of equivalent atoms:
Li1 0.0000 0.2389 0.0000  6 F 2.05-2.23
Ag1 0.5000 0.0000 0.5000  2 F 2.07
Pt1 0.5000 0.5000 0.5000  6 F 1.97
F1 0.1883 0.0000 0.1858  2 Li 2.05, 1 Ag 2.07
F2 0.2034 0.5000 0.2000  1 Pt 1.97
F3 0.3028 0.2875 0.6935  1 Pt 1.97, 1 Li 2.10

Summary:
- Formation energy without anion corrections: -22.21 eV/f.u.
- Total moment: 0.94 Bohr magnetons per cell


Entry 3:
Below is a relaxed ErThNp crystal, with properties calculated at the GGA-PBE level.

Cell lengths 16.9892, 3.4978, 5.7175 Å; angles 90.00, 99.53, 90.00 degrees
Closest atoms and distances in Å follow each position.
Space group C2/m (No. 12)
One atom of each set of equivalent atoms:
Er1 0.0612 0.0000 0.2803  3 Np 3.40-3.73, 4 Er 3.50-3.52, 6 Th 3.52-3.64
Th1 0.1293 0.5000 0.8097  4 Np 3.16-3.38, 2 Th 3.50, 2 Er 3.52
Np1 0.2350 0.5000 0.3576  2 Np 2.39

Summary:
- Total moment: 0.33 Bohr magnetons per cell
- E_form: 0.2053 eV per atom